The following is a DFT calculation (PBE) of a relaxed structure of CaLaNi3.

The structure in CIF format:
```
data_CaLaNi3
_chemical_formula_sum 'Ca1 La1 Ni3'
_space_group_name_H-M_alt 'P 1'
_space_group_IT_number 1
_space_group_name_Hall 'P 1'
_cell_length_a 4.9195
_cell_length_b 4.9195
_cell_length_c 4.9195
_cell_angle_alpha 90.00
_cell_angle_beta 90.00
_cell_angle_gamma 90.00
loop_
_atom_site_label
_atom_site_fract_x
_atom_site_fract_y
_atom_site_fract_z
Ni1 0.0000 0.0000 0.5000
Ni2 0.0000 0.5000 0.0000
Ni3 0.5000 0.0000 0.0000
Ca1 0.5000 0.5000 0.5000
La1 0.0000 0.0000 0.0000
```

Properties
DOS at the Fermi energy   1.16 states/eV per atom
Total DFT energy (no corrections)   -21.0 eV/cell

=====

The following is a DFT calculation (PBE) of a relaxed structure of BiTe3P.

The structure in CIF format:
```
data_BiTe3P
_chemical_formula_sum 'Bi1 Te3 P1'
_space_group_name_H-M_alt 'P 1'
_space_group_IT_number 1
_space_group_name_Hall 'P 1'
_cell_length_a 5.2726
_cell_length_b 5.2726
_cell_length_c 5.2726
_cell_angle_alpha 90.00
_cell_angle_beta 90.00
_cell_angle_gamma 90.00
loop_
_atom_site_label
_atom_site_fract_x
_atom_site_fract_y
_atom_site_fract_z
Te1 0.5000 0.0000 0.0000
Te2 0.0000 0.5000 0.0000
Te3 0.0000 0.0000 0.5000
Bi1 0.5000 0.5000 0.5000
P1 0.0000 0.0000 0.0000
```

Properties
DOS at the Fermi energy   1.11 states/eV per atom
Formation energy without anion corrections   1.75 eV/f.u.

=====

The following is a DFT calculation (PBE) of a relaxed structure of MnAl6Ga12.

The structure in CIF format:
```
data_MnAl6Ga12
_chemical_formula_sum 'Mn1 Al6 Ga12'
_space_group_name_H-M_alt 'P 1'
_space_group_IT_number 1
_space_group_name_Hall 'P 1'
_cell_length_a 7.0603
_cell_length_b 7.0603
_cell_length_c 7.0603
_cell_angle_alpha 98.24
_cell_angle_beta 98.24
_cell_angle_gamma 98.24
loop_
_atom_site_label
_atom_site_fract_x
_atom_site_fract_y
_atom_site_fract_z
Ga1 0.5981 0.8301 0.9267
Ga2 0.1985 0.4919 0.5518
Ga3 0.9267 0.5981 0.8301
Ga4 0.8015 0.5081 0.4482
Ga5 0.5518 0.1985 0.4919
Ga6 0.4482 0.8015 0.5081
Ga7 0.4919 0.5518 0.1985
Ga8 0.1699 0.0733 0.4019
Ga9 0.0733 0.4019 0.1699
Ga10 0.8301 0.9267 0.5981
Ga11 0.4019 0.1699 0.0733
Ga12 0.5081 0.4482 0.8015
Al1 0.7527 0.2147 0.8780
Al2 0.8780 0.7527 0.2147
Al3 0.2473 0.7853 0.1220
Al4 0.7853 0.1220 0.2473
Al5 0.1220 0.2473 0.7853
Al6 0.2147 0.8780 0.7527
Mn1 0.0000 0.0000 0.0000
```

Properties
DOS at the Fermi energy   0.39 states/eV per atom
Total DFT energy (no corrections)   -67.2 eV/cell

=====

The following is a DFT calculation (PBE) of a relaxed structure of MgNi2Os.

The structure in CIF format:
```
data_MgNi2Os
_chemical_formula_sum 'Mg1 Ni2 Os1'
_space_group_name_H-M_alt 'P 1'
_space_group_IT_number 1
_space_group_name_Hall 'P 1'
_cell_length_a 2.7062
_cell_length_b 2.7062
_cell_length_c 7.2572
_cell_angle_alpha 90.00
_cell_angle_beta 90.00
_cell_angle_gamma 89.99
loop_
_atom_site_label
_atom_site_fract_x
_atom_site_fract_y
_atom_site_fract_z
Ni1 0.0000 0.0000 0.0245
Ni2 0.5000 0.5000 0.2411
Mg1 0.5000 0.5000 0.7651
Os1 0.0000 0.0000 0.4694
```

Properties
DOS at the Fermi energy   1.23 states/eV per atom
Total DFT energy (no corrections)   -23.9 eV/cell

=====

The following is a DFT calculation (PBE) of a relaxed structure of Fe.

The structure in CIF format:
```
data_Fe
_chemical_formula_sum 'Fe4'
_space_group_name_H-M_alt 'P 1'
_space_group_IT_number 1
_space_group_name_Hall 'P 1'
_cell_length_a 3.8968
_cell_length_b 3.8968
_cell_length_c 4.2316
_cell_angle_alpha 90.00
_cell_angle_beta 90.00
_cell_angle_gamma 120.00
loop_
_atom_site_label
_atom_site_fract_x
_atom_site_fract_y
_atom_site_fract_z
Fe1 0.3333 0.6667 0.2500
Fe2 0.6667 0.3333 0.7500
Fe3 0.0000 0.0000 0.2500
Fe4 0.0000 0.0000 0.7500
```

Properties
DOS at the Fermi energy   1.35 states/eV per atom
Total DFT energy (no corrections)   -29.9 eV/cell

=====

The following is a DFT calculation (PBE) of a relaxed structure of TbYCoCu.

The structure in CIF format:
```
data_TbYCoCu
_chemical_formula_sum 'Tb1 Y1 Co1 Cu1'
_space_group_name_H-M_alt 'P 1'
_space_group_IT_number 1
_space_group_name_Hall 'P 1'
_cell_length_a 3.8824
_cell_length_b 4.1028
_cell_length_c 5.5727
_cell_angle_alpha 90.00
_cell_angle_beta 110.39
_cell_angle_gamma 90.00
loop_
_atom_site_label
_atom_site_fract_x
_atom_site_fract_y
_atom_site_fract_z
Cu1 0.5672 0.5000 0.1343
Co1 0.4288 0.0000 0.8576
Y1 0.1427 0.0000 0.2855
Tb1 0.8613 0.5000 0.7226
```

Properties
DOS at the Fermi energy   0.99 states/eV per atom
Total DFT energy (no corrections)   -23.1 eV/cell

=====

The following is a DFT calculation (PBE) of a relaxed structure of PrNd2Pd9.

The structure in CIF format:
```
data_PrNd2Pd9
_chemical_formula_sum 'Pr1 Nd2 Pd9'
_space_group_name_H-M_alt 'P 1'
_space_group_IT_number 1
_space_group_name_Hall 'P 1'
_cell_length_a 4.2112
_cell_length_b 4.2112
_cell_length_c 12.6289
_cell_angle_alpha 90.00
_cell_angle_beta 90.00
_cell_angle_gamma 90.00
loop_
_atom_site_label
_atom_site_fract_x
_atom_site_fract_y
_atom_site_fract_z
Pd1 0.0000 0.5000 0.1677
Pd2 0.5000 0.0000 0.8323
Pd3 0.0000 0.5000 0.5000
Pd4 0.5000 0.5000 0.3337
Pd5 0.0000 0.5000 0.8323
Pd6 0.5000 0.5000 0.6663
Pd7 0.5000 0.5000 0.0000
Pd8 0.5000 0.0000 0.5000
Pd9 0.5000 0.0000 0.1677
Nd1 0.0000 0.0000 0.6660
Nd2 0.0000 0.0000 0.3340
Pr1 0.0000 0.0000 0.0000
```

Properties
DOS at the Fermi energy   0.67 states/eV per atom
Total DFT energy (no corrections)   -70.1 eV/cell

=====

The following is a DFT calculation (PBE) of a relaxed structure of CsZrP2S8.

The structure in CIF format:
```
data_CsZrP2S8
_chemical_formula_sum 'Cs1 Zr1 P2 S8'
_space_group_name_H-M_alt 'P 1'
_space_group_IT_number 1
_space_group_name_Hall 'P 1'
_cell_length_a 6.1773
_cell_length_b 6.1773
_cell_length_c 9.7966
_cell_angle_alpha 90.00
_cell_angle_beta 90.00
_cell_angle_gamma 120.00
loop_
_atom_site_label
_atom_site_fract_x
_atom_site_fract_y
_atom_site_fract_z
S1 0.3333 0.6667 0.9151
S2 0.6580 0.0075 0.3510
S3 0.9925 0.6505 0.3510
S4 0.3420 0.9925 0.6490
S5 0.6505 0.6580 0.6490
S6 0.3495 0.3420 0.3510
S7 0.6667 0.3333 0.0849
S8 0.0075 0.3495 0.6490
P1 0.3333 0.6667 0.7108
P2 0.6667 0.3333 0.2892
Cs1 0.0000 0.0000 0.0000
Zr1 0.0000 0.0000 0.5000
```

Properties
DOS at the Fermi energy   0.98 states/eV per atom
Formation energy without anion corrections   -7.02 eV/f.u.

=====

The following is a DFT calculation (PBE) of a relaxed structure of AgP2Pd.

The structure in CIF format:
```
data_AgP2Pd
_chemical_formula_sum 'Ag2 P4 Pd2'
_space_group_name_H-M_alt 'P 1'
_space_group_IT_number 1
_space_group_name_Hall 'P 1'
_cell_length_a 5.5049
_cell_length_b 5.5049
_cell_length_c 6.7723
_cell_angle_alpha 66.02
_cell_angle_beta 66.02
_cell_angle_gamma 90.00
loop_
_atom_site_label
_atom_site_fract_x
_atom_site_fract_y
_atom_site_fract_z
P1 0.8750 0.8468 0.7500
P2 0.5968 0.1250 0.2500
P3 0.1532 0.6250 0.2500
P4 0.3750 0.4032 0.7500
Pd1 0.5000 0.5000 0.0000
Pd2 0.2500 0.7500 0.5000
Ag1 0.0000 0.0000 0.0000
Ag2 0.7500 0.2500 0.5000
```

Properties
DOS at the Fermi energy   0.71 states/eV per atom
Total DFT energy (no corrections)   -35.9 eV/cell

=====

The following is a DFT calculation (PBE) of a relaxed structure of Ac4TlTe2S.

The structure in CIF format:
```
data_Ac4TlTe2S
_chemical_formula_sum 'Ac4 Tl1 Te2 S1'
_space_group_name_H-M_alt 'P 1'
_space_group_IT_number 1
_space_group_name_Hall 'P 1'
_cell_length_a 4.6115
_cell_length_b 8.0216
_cell_length_c 8.2681
_cell_angle_alpha 108.95
_cell_angle_beta 90.00
_cell_angle_gamma 90.00
loop_
_atom_site_label
_atom_site_fract_x
_atom_site_fract_y
_atom_site_fract_z
Ac1 0.5000 0.2342 0.2258
Ac2 0.5000 0.7658 0.7742
Ac3 0.0000 0.2469 0.7633
Ac4 0.0000 0.7531 0.2367
Te1 0.5000 0.0000 0.5000
Te2 0.0000 0.5000 0.5000
Tl1 0.5000 0.5000 0.0000
S1 0.0000 0.0000 0.0000
```

Properties
DOS at the Fermi energy   0.47 states/eV per atom
Formation energy without anion corrections   -10.43 eV/f.u.

=====

The following is a DFT calculation (PBE) of a relaxed structure of Ce2MnCl8.

The structure in CIF format:
```
data_Ce2MnCl8
_chemical_formula_sum 'Ce2 Mn1 Cl8'
_space_group_name_H-M_alt 'P 1'
_space_group_IT_number 1
_space_group_name_Hall 'P 1'
_cell_length_a 3.9598
_cell_length_b 7.7961
_cell_length_c 10.7029
_cell_angle_alpha 80.23
_cell_angle_beta 100.66
_cell_angle_gamma 90.00
loop_
_atom_site_label
_atom_site_fract_x
_atom_site_fract_y
_atom_site_fract_z
Cl1 0.2455 0.3238 0.4910
Cl2 0.0119 0.7834 0.0238
Cl3 0.6105 0.4784 0.2210
Cl4 0.9881 0.2166 0.9762
Cl5 0.3781 0.0490 0.7561
Cl6 0.7545 0.6762 0.5090
Cl7 0.3895 0.5216 0.7790
Cl8 0.6219 0.9510 0.2439
Ce1 0.8457 0.3284 0.6915
Ce2 0.1543 0.6716 0.3085
Mn1 0.5000 0.0000 0.0000
```

Properties
DOS at the Fermi energy   1.20 states/eV per atom
Formation energy without anion corrections   -20.84 eV/f.u.

=====

The following is a DFT calculation (PBE) of a relaxed structure of LaPm5Nd3.

The structure in CIF format:
```
data_LaPm5Nd3
_chemical_formula_sum 'La2 Pm10 Nd6'
_space_group_name_H-M_alt 'P 1'
_space_group_IT_number 1
_space_group_name_Hall 'P 1'
_cell_length_a 9.7528
_cell_length_b 9.7528
_cell_length_c 12.0451
_cell_angle_alpha 51.90
_cell_angle_beta 51.90
_cell_angle_gamma 73.58
loop_
_atom_site_label
_atom_site_fract_x
_atom_site_fract_y
_atom_site_fract_z
Pm1 0.5026 0.5026 0.2212
Pm2 0.8266 0.8266 0.9468
Pm3 0.6516 0.1524 0.7410
Pm4 0.1734 0.1734 0.0532
Pm5 0.4974 0.4974 0.7788
Pm6 0.7457 0.2543 0.0000
Pm7 0.2543 0.7457 0.0000
Pm8 0.1524 0.6516 0.7410
Pm9 0.3484 0.8476 0.2590
Pm10 0.8476 0.3484 0.2590
Nd1 0.6886 0.6886 0.8152
Nd2 0.3370 0.3370 0.6459
Nd3 0.6630 0.6630 0.3541
Nd4 0.0000 0.0000 0.5000
Nd5 0.3114 0.3114 0.1848
Nd6 0.0000 0.0000 0.0000
La1 0.1715 0.1715 0.5835
La2 0.8285 0.8285 0.4165
```

Properties
DOS at the Fermi energy   1.52 states/eV per atom
Total DFT energy (no corrections)   -77.9 eV/cell